Material: LiAc2CoO6
Method: DFT, PBE+U
State: optimized geometry

Summary:
Spin magnetization (μB/f.u.): 2.04
E (eV for the cell shown): -135.54

a = 5.508 Å, b = 5.512 Å, c = 7.883 Å
α = 90.00°, β = 90.00°, γ = 90.00°
Last column: magnetic moment on the atom in μB.
Element x y z (fractional)
Li (0.000, 0.750, 0.500)  -0.01
Li (0.500, 0.250, 0.000)  -0.01
Ac (0.500, 0.750, 0.249)  0.02
Ac (0.000, 0.250, 0.749)  0.02
Ac (0.500, 0.750, 0.751)  0.02
Ac (0.000, 0.250, 0.251)  0.02
Co (0.500, 0.250, 0.500)  1.69
Co (0.000, 0.750, 0.000)  1.69
O (0.500, 0.250, 0.261)  0.01
O (0.500, 0.250, 0.739)  0.01
O (0.000, 0.750, 0.239)  0.01
O (0.000, 0.750, 0.761)  0.01
O (0.261, 0.013, 0.500)  0.05
O (0.739, 0.013, 0.500)  0.05
O (0.261, 0.487, 0.500)  0.05
O (0.739, 0.487, 0.500)  0.05
O (0.761, 0.513, 0.000)  0.05
O (0.239, 0.513, 0.000)  0.05
O (0.239, 0.987, 0.000)  0.05
O (0.761, 0.987, 0.000)  0.05